# GGA-PBE ScZn2Tc, relaxed
# DOS(E_F) (states/eV per atom): 1.03
# Formation enthalpy at 0 K (eV per atom): 0.1371
# Offset from the most stable computed form (meV per atom): 376
# Calculated volume (Å³/cell): 196.54
# E_tot (eV/atom): -4.674
data_ScZn2Tc
_chemical_formula_sum 'Sc3 Zn6 Tc3'
_cell_length_a 2.8477
_cell_length_b 2.8477
_cell_length_c 27.9866
_cell_angle_alpha 90.00
_cell_angle_beta 90.00
_cell_angle_gamma 120.00
_space_group_name_H-M_alt 'R -3 m'
_space_group_IT_number 166
_space_group_name_Hall '-R 3 2"'
loop_
_atom_site_label
_atom_site_type_symbol
_atom_site_fract_x
_atom_site_fract_y
_atom_site_fract_z
Sc1 Sc 0.0000 0.0000 0.0000
Zn1 Zn 0.0000 0.0000 0.2443
Tc1 Tc 0.0000 0.0000 0.5000